(1)
A plane-wave DFT calculation with PBE was carried out for a relaxed ZnCrTc2 crystal.

The structure in POSCAR format:
```
ZnCrTc2
1.0
-0.029 0.426 2.970
-1.076 -2.774 0.387
5.878 -2.228 0.377
Cr Tc Zn
1 2 1
Direct
0.500 0.500 0.752
0.000 0.000 0.996
0.500 0.500 0.245
0.000 0.000 0.507
```

---

(2)
A plane-wave DFT calculation with PBE was carried out for a relaxed ZnCr2Tc2 crystal.

The structure in POSCAR format:
```
ZnCr2Tc2
1.0
7.084 0.000 0.000
0.000 7.084 0.000
0.000 0.000 2.798
Cr Zn Tc
4 2 4
Direct
0.361 0.861 0.000
0.861 0.639 0.000
0.639 0.139 0.000
0.139 0.361 0.000
0.000 0.000 0.000
0.500 0.500 0.000
0.159 0.659 0.500
0.659 0.841 0.500
0.841 0.341 0.500
0.341 0.159 0.500
```

## Properties
Distance to the lowest polymorph of the same formula   0.000 eV per atom

---

(3)
A plane-wave DFT calculation with PBE was carried out for a relaxed ZnCrTc2 crystal.

The structure in POSCAR format:
```
ZnCrTc2
1.0
-1.451 2.144 0.712
-1.810 -0.054 -3.524
-3.658 -3.115 1.927
Cr Tc Zn
1 2 1
Direct
0.500 0.500 0.752
0.000 0.000 0.999
0.500 0.500 0.244
0.000 0.000 0.505
```

---

For reference, energy relative to the elements by record: 0.142 0.272 0.161 eV per atom.
For reference, magnetic moment by record: 0.67 0.00 0.00 μB/atom.